No. 1
A plane-wave DFT calculation with PBE was carried out for Nd2YTm5 after structural relaxation.

Unit cell a=7.094 b=14.189 c=5.014 alpha=90.00 beta=90.00 gamma=90.00
Element x y z (fractional)
Nd: 0.248 0.126 0.000
Nd: 0.252 0.626 0.000
Nd: 0.748 0.374 0.000
Nd: 0.752 0.874 0.000
Y: 0.000 0.500 0.500
Y: 0.500 0.000 0.500
Tm: 0.000 0.000 0.500
Tm: 0.001 0.751 0.500
Tm: 0.250 0.374 0.000
Tm: 0.250 0.874 0.000
Tm: 0.499 0.251 0.500
Tm: 0.500 0.500 0.500
Tm: 0.501 0.749 0.500
Tm: 0.750 0.126 0.000
Tm: 0.750 0.626 0.000
Tm: 0.999 0.249 0.500

Output
DFT formation energy, kJ/mol of formula units: 21
Symmetry: Pbam (55)
VASP energy, eV/atom: -4.767
Distance to the lowest polymorph of the same formula, meV/atom: 0

No. 2
A plane-wave DFT calculation with PBE was carried out for BaTc2Ir after structural relaxation.

Unit cell a=2.871 b=2.871 c=9.325 alpha=90.00 beta=90.00 gamma=90.00
Element x y z (fractional)
Ba: 0.000 0.000 0.000
Tc: 0.500 0.500 0.304
Tc: 0.500 0.500 0.696
Ir: 0.000 0.000 0.500

Output
DFT formation energy, kJ/mol of formula units: 310
Symmetry: P4/mmm (123)
VASP energy, eV/atom: -7.075
Distance to the lowest polymorph of the same formula, meV/atom: 485